1.
VASP calculation (PBE) on crystalline KNbAsO at its relaxed geometry.

Unit cell a=3.5875 b=6.5352 c=8.0308 alpha=90.00 beta=90.00 gamma=90.00
With the nearest neighbours (Å) after each atom.
Fractional positions:
Nb1 0.0000 0.8338 0.9645  2 O 2.00
Nb2 0.0000 0.1662 0.4645  2 O 2.00
As1 0.0000 0.8647 0.2750  2 Nb 2.49-2.50
As2 0.0000 0.1353 0.7750  2 Nb 2.49-2.50
O1 0.5000 0.7097 0.9239  2 Nb 2.00
O2 0.5000 0.2903 0.4239  2 Nb 2.00
K1 0.5000 0.3487 0.0905  2 O 2.70-2.71
K2 0.5000 0.6513 0.5905  2 O 2.70-2.71

Computed properties:
VASP energy   -6.152 eV/atom
Volume   23.536 Å³/atom
Magnetic moment   0.27 μB per atom

***

2.
VASP calculation (PBE) on crystalline Zn2InTc at its relaxed geometry.

Unit cell a=4.5123 b=4.5123 c=4.5123 alpha=60.00 beta=60.00 gamma=60.00
With the nearest neighbours (Å) after each atom.
Fractional positions:
Tc1 0.2500 0.2500 0.2500  4 In 2.76, 4 Zn 2.76
In1 0.5000 0.5000 0.5000  4 Tc 2.76, 4 Zn 2.76
Zn1 0.0000 0.0000 0.0000  4 Tc 2.76, 4 Zn 2.76
Zn2 0.7500 0.7500 0.7500  4 In 2.76, 4 Zn 2.76

Computed properties:
VASP energy   -3.589 eV/atom
Volume   16.241 Å³/atom
Magnetic moment   0.00 μB per atom

***

3.
VASP calculation (PBE) on crystalline Hf3BiN2 at its relaxed geometry.

Unit cell a=3.2425 b=3.2425 c=20.4232 alpha=90.00 beta=90.00 gamma=120.00
With the nearest neighbours (Å) after each atom.
Fractional positions:
Bi1 0.0000 0.0000 0.7500  6 Hf 3.13, 6 Bi 3.24
Bi2 0.0000 0.0000 0.2500  6 Hf 3.13, 6 Bi 3.24
N1 0.3333 0.6667 0.0621  6 Hf 2.26-2.29
N2 0.6667 0.3333 0.9379  6 Hf 2.26-2.29
N3 0.3333 0.6667 0.4379  6 Hf 2.26-2.29
N4 0.6667 0.3333 0.5621  6 Hf 2.26-2.29
Hf1 0.3333 0.6667 0.8731  3 N 2.29
Hf2 0.6667 0.3333 0.3731  3 N 2.29
Hf3 0.0000 0.0000 0.5000  6 N 2.26
Hf4 0.0000 0.0000 0.0000  6 N 2.26
Hf5 0.6667 0.3333 0.1269  3 N 2.29
Hf6 0.3333 0.6667 0.6269  3 N 2.29

Computed properties:
VASP energy   -9.506 eV/atom
Volume   15.496 Å³/atom
Magnetic moment   0.00 μB per atom